## A
The following is a DFT calculation (PBE-GGA) of a geometry-optimized GaSn2Te structure.

a = 4.1750 Å, b = 4.1750 Å, c = 21.9125 Å
α = 90.00°, β = 90.00°, γ = 120.00°
Closest atoms and distances in Å follow each position.
Space group R-3m (No. 166, hexagonal axes)
Symmetry-distinct sites (fractional):
Ga 0.0000 0.0000 0.0000 x3  6 Sn 2.90
Sn 0.0000 0.0000 0.2601 x6  3 Ga 2.90, 3 Te 3.16
Te 0.0000 0.0000 0.5000 x3  6 Sn 3.16

Magnetic moment = 0.0 μB/cell

=====

## B
The following is a DFT calculation (PBE-GGA) of a geometry-optimized GaSn2Te structure.

a = 4.1223 Å, b = 4.1223 Å, c = 22.6797 Å
α = 90.00°, β = 90.00°, γ = 120.00°
Closest atoms and distances in Å follow each position.
Space group R3m (No. 160, hexagonal axes)
Symmetry-distinct sites (fractional):
Ga 0.0000 0.0000 0.0000 x3  6 Sn 2.90
Sn 0.0000 0.0000 0.4066 x3  3 Ga 2.90, 3 Te 3.23
Sn 0.0000 0.0000 0.5938 x3  3 Ga 2.90, 3 Te 3.15
Te 0.0000 0.0000 0.1697 x3  6 Sn 3.15-3.23

Magnetic moment = 0.0 μB/cell

=====

Which of them is least stable? Easy: B.

=====

## A
The following is a DFT calculation (PBE-GGA) of a geometry-optimized GaSn2Te structure.

a = 6.5849 Å, b = 6.5849 Å, c = 13.2795 Å
α = 90.00°, β = 90.00°, γ = 90.00°
Closest atoms and distances in Å follow each position.
Space group I-42d (No. 122)
Symmetry-distinct sites (fractional):
Ga 0.0000 0.0000 0.0000 x4  4 Sn 2.71
Sn 0.2073 0.2500 0.1250 x8  2 Ga 2.71, 2 Te 3.03
Te 0.0000 0.0000 0.5000 x4  4 Sn 3.03

Magnetic moment = 0.0 μB/cell

=====

## B
The following is a DFT calculation (PBE-GGA) of a geometry-optimized GaSn2Te structure.

a = 7.5057 Å, b = 7.5057 Å, c = 7.5057 Å
α = 90.00°, β = 90.00°, γ = 90.00°
Closest atoms and distances in Å follow each position.
Space group Fm-3m (No. 225)
Symmetry-distinct sites (fractional):
Ga 0.0000 0.0000 0.0000 x4  8 Sn 3.25
Sn 0.2500 0.2500 0.2500 x8  4 Te 3.25, 4 Ga 3.25
Te 0.0000 0.0000 0.5000 x4  8 Sn 3.25

Magnetic moment = 0.0 μB/cell

=====

Which of them is least stable? Easy: B.

=====

## A
The following is a DFT calculation (PBE-GGA) of a geometry-optimized Ga2SnTe2 structure.

a = 8.4195 Å, b = 8.4195 Å, c = 3.9325 Å
α = 90.00°, β = 90.00°, γ = 90.00°
Closest atoms and distances in Å follow each position.
Space group P4/mbm (No. 127)
Symmetry-distinct sites (fractional):
Ga 0.1338 0.3662 0.0000 x4  6 Te 3.06-3.23, 1 Ga 3.19
Sn 0.0000 0.0000 0.5000 x2  4 Te 3.13
Te 0.1691 0.6691 0.5000 x4  6 Ga 3.06-3.23, 2 Sn 3.13

Magnetic moment = 0.0 μB/cell

=====

## B
The following is a DFT calculation (PBE-GGA) of a geometry-optimized Ga2SnTe2 structure.

a = 4.0796 Å, b = 4.0796 Å, c = 16.4634 Å
α = 90.00°, β = 90.00°, γ = 90.00°
Closest atoms and distances in Å follow each position.
Space group I4/mmm (No. 139)
Symmetry-distinct sites (fractional):
Ga 0.0000 0.5000 0.2500 x4  4 Ga 2.88, 4 Te 3.16
Sn 0.0000 0.0000 0.0000 x2  8 Te 3.35
Te 0.0000 0.0000 0.3967 x4  4 Ga 3.16, 4 Sn 3.35, 1 Te 3.40

Magnetic moment = 0.0 μB/cell

=====

Which of them is least stable? Easy: B.

=====

## A
The following is a DFT calculation (PBE-GGA) of a geometry-optimized Th2Ga2Sn structure.

a = 7.4607 Å, b = 7.4607 Å, c = 4.5152 Å
α = 90.00°, β = 90.00°, γ = 90.00°
Closest atoms and distances in Å follow each position.
Space group P4/mbm (No. 127)
Symmetry-distinct sites (fractional):
Th 0.1762 0.3238 0.0000 x4  6 Ga 3.10-3.20
Ga 0.1226 0.6226 0.5000 x4  1 Ga 2.59
Sn 0.0000 0.0000 0.5000 x2  4 Ga 2.96

Magnetic moment = 0.0 μB/cell

=====

## B
The following is a DFT calculation (PBE-GGA) of a geometry-optimized Th2Ga2Sn structure.

a = 11.6087 Å, b = 4.4403 Å, c = 10.8832 Å
α = 90.00°, β = 114.80°, γ = 90.00°
Closest atoms and distances in Å follow each position.
Space group C2/m (No. 12)
Symmetry-distinct sites (fractional):
Th 0.0116 0.0000 0.1817 x4  6 Ga 3.16-3.30, 3 Sn 3.33
Th 0.1887 0.0000 0.6036 x4  6 Ga 3.11-3.43, 2 Sn 3.28
Ga 0.0376 0.5000 0.4001 x4  1 Ga 2.66, 1 Sn 2.91
Ga 0.1279 0.5000 0.0603 x4  1 Ga 2.70, 3 Sn 2.84-2.99
Sn 0.2079 0.5000 0.8329 x4  4 Ga 2.84-2.99

Magnetic moment = 0.0 μB/cell

=====

Which of them is least stable? Easy: B.

=====

## A
The following is a DFT calculation (PBE-GGA) of a geometry-optimized Th2GaSn structure.

a = 6.2096 Å, b = 4.3084 Å, c = 8.8935 Å
α = 90.00°, β = 108.61°, γ = 90.00°
Closest atoms and distances in Å follow each position.
Space group P2_1/m (No. 11)
Symmetry-distinct sites (fractional):
Th 0.1989 0.2500 0.4229 x2  3 Ga 3.14-3.47, 4 Sn 3.24-3.36
Th 0.2772 0.7500 0.0645 x2  3 Ga 3.12-3.15, 3 Sn 3.25-3.38
Ga 0.1219 0.2500 0.7929 x2  2 Sn 2.89, 5 Th 3.12-3.15
Sn 0.3728 0.7500 0.7106 x2  2 Ga 2.89

Magnetic moment = 0.0 μB/cell

=====

## B
The following is a DFT calculation (PBE-GGA) of a geometry-optimized Th2GaSn structure.

a = 3.4797 Å, b = 3.4797 Å, c = 8.8488 Å
α = 90.00°, β = 90.00°, γ = 90.00°
Closest atoms and distances in Å follow each position.
Space group P4/mmm (No. 123)
Symmetry-distinct sites (fractional):
Th 0.0000 0.0000 0.2318 x2  4 Ga 3.20, 4 Sn 3.42, 4 Th 3.48
Ga 0.5000 0.5000 0.0000 x1  8 Th 3.20, 4 Ga 3.48
Sn 0.5000 0.5000 0.5000 x1  8 Th 3.42, 4 Sn 3.48

Magnetic moment = 0.0 μB/cell

=====

## C
The following is a DFT calculation (PBE-GGA) of a geometry-optimized Th2GaSn structure.

a = 3.5607 Å, b = 3.5607 Å, c = 30.5125 Å
α = 90.00°, β = 90.00°, γ = 120.00°
Closest atoms and distances in Å follow each position.
Space group R-3m (No. 166, hexagonal axes)
Symmetry-distinct sites (fractional):
Th 0.0000 0.0000 0.2446 x6  3 Ga 3.14, 3 Sn 3.40
Ga 0.0000 0.0000 0.5000 x3  6 Th 3.14
Sn 0.0000 0.0000 0.0000 x3  6 Th 3.40, 6 Sn 3.56

Magnetic moment = 0.0 μB/cell

=====

Which of them is least stable? Easy: C.

=====

## A
The following is a DFT calculation (PBE-GGA) of a geometry-optimized Th4GaSn structure.

a = 16.6702 Å, b = 6.0074 Å, c = 7.7082 Å
α = 90.00°, β = 106.20°, γ = 90.00°
Closest atoms and distances in Å follow each position.
Space group C2/c (No. 15)
Symmetry-distinct sites (fractional):
Th 0.0783 0.1130 0.4670 x8  1 Ga 2.92, 1 Th 3.11
Th 0.1658 0.3704 0.1181 x8  2 Ga 2.95-2.98
Ga 0.2500 0.2500 0.5000 x4  6 Th 2.92-2.98
Sn 0.0000 0.3975 0.7500 x4  10 Th 3.31-3.56

Magnetic moment = 0.0 μB/cell

=====

## B
The following is a DFT calculation (PBE-GGA) of a geometry-optimized Th4GaSn structure.

a = 7.5909 Å, b = 7.5909 Å, c = 6.1418 Å
α = 90.00°, β = 90.00°, γ = 90.00°
Closest atoms and distances in Å follow each position.
Space group P4/mcc (No. 124)
Symmetry-distinct sites (fractional):
Th 0.1503 0.3352 0.0000 x8  2 Ga 3.18, 2 Sn 3.31, 1 Th 3.39
Ga 0.0000 0.0000 0.2500 x2  2 Ga 3.07, 8 Th 3.18
Sn 0.5000 0.5000 0.2500 x2  2 Sn 3.07, 8 Th 3.31

Magnetic moment = 0.0 μB/cell

=====

Which of them is least stable? Easy: A.

=====

## A
The following is a DFT calculation (PBE-GGA) of a geometry-optimized Ti3GaSn structure.

a = 4.6990 Å, b = 4.6990 Å, c = 4.6990 Å
α = 90.00°, β = 90.00°, γ = 90.00°
Closest atoms and distances in Å follow each position.
Space group Pm-3m (No. 221)
Symmetry-distinct sites (fractional):
Ti 0.0000 0.0000 0.5000 x3  2 Ga 2.35
Ga 0.0000 0.0000 0.0000 x1  6 Ti 2.35
Sn 0.5000 0.5000 0.5000 x1  12 Ti 3.32

Magnetic moment = 0.0 μB/cell

=====

## B
The following is a DFT calculation (PBE-GGA) of a geometry-optimized Ti3GaSn structure.

a = 6.4259 Å, b = 6.4259 Å, c = 5.2231 Å
α = 90.00°, β = 90.00°, γ = 120.00°
Closest atoms and distances in Å follow each position.
Space group P6_3/mmc (No. 194)
Symmetry-distinct sites (fractional):
Ti 0.1938 0.3876 0.2500 x6  2 Ga 2.52, 2 Ti 2.69
Ga 0.0000 0.0000 0.0000 x2  6 Ti 2.52, 2 Ga 2.61
Sn 0.3333 0.6667 0.7500 x2  12 Ti 3.04-3.23

Magnetic moment = 1.2 μB/cell

=====

Which of them is least stable? Easy: A.

=====

## A
The following is a DFT calculation (PBE-GGA) of a geometry-optimized TiGaSn3 structure.

a = 5.2957 Å, b = 5.2957 Å, c = 5.2957 Å
α = 90.00°, β = 90.00°, γ = 90.00°
Closest atoms and distances in Å follow each position.
Space group Pm-3m (No. 221)
Symmetry-distinct sites (fractional):
Ti 0.0000 0.0000 0.0000 x1  6 Sn 2.65
Ga 0.5000 0.5000 0.5000 x1  12 Sn 3.74
Sn 0.0000 0.0000 0.5000 x3  2 Ti 2.65

Magnetic moment = 0.0 μB/cell

=====

## B
The following is a DFT calculation (PBE-GGA) of a geometry-optimized TiGaSn3 structure.

a = 5.2209 Å, b = 5.2209 Å, c = 5.2209 Å
α = 90.00°, β = 90.00°, γ = 90.00°
Closest atoms and distances in Å follow each position.
Space group Pm-3m (No. 221)
Symmetry-distinct sites (fractional):
Ti 0.0000 0.0000 0.0000 x1  12 Sn 3.69
Ga 0.5000 0.5000 0.5000 x1  6 Sn 2.61
Sn 0.0000 0.5000 0.5000 x3  2 Ga 2.61

Magnetic moment = 0.0 μB/cell

=====

Which of them is least stable? Easy: B.

=====

## A
The following is a DFT calculation (PBE-GGA) of a geometry-optimized Ti2Ga2Sn structure.

a = 3.7226 Å, b = 3.7226 Å, c = 13.5289 Å
α = 90.00°, β = 90.00°, γ = 90.00°
Closest atoms and distances in Å follow each position.
Space group I4/mmm (No. 139)
Symmetry-distinct sites (fractional):
Ti 0.0000 0.0000 0.0963 x4  1 Ti 2.61, 4 Ga 2.79
Ga 0.0000 0.5000 0.2500 x4  4 Ga 2.63, 4 Ti 2.79
Sn 0.0000 0.0000 0.5000 x2  8 Ti 2.94

Magnetic moment = 0.0 μB/cell

=====

## B
The following is a DFT calculation (PBE-GGA) of a geometry-optimized Ti2Ga2Sn structure.

a = 5.9426 Å, b = 12.8144 Å, c = 5.5644 Å
α = 90.00°, β = 119.94°, γ = 90.00°
Closest atoms and distances in Å follow each position.
Space group C2/c (No. 15)
Symmetry-distinct sites (fractional):
Ti 0.0000 0.0099 0.2500 x4  2 Ti 2.79, 4 Ga 2.85-3.02
Ti 0.0000 0.3966 0.7500 x4  4 Ga 2.65-2.85, 3 Sn 2.69-2.78
Ga 0.0462 0.2007 0.0144 x8  3 Ti 2.65-2.85, 3 Ga 2.71-2.93, 1 Sn 2.87
Sn 0.0000 0.3932 0.2500 x4  3 Ti 2.69-2.78, 2 Ga 2.87

Magnetic moment = 0.0 μB/cell

=====

Which of them is least stable? Easy: A.

=====

## A
The following is a DFT calculation (PBE-GGA) of a geometry-optimized Ti2Ga2Sn structure.

a = 7.0093 Å, b = 7.0093 Å, c = 3.8423 Å
α = 90.00°, β = 90.00°, γ = 90.00°
Closest atoms and distances in Å follow each position.
Space group P4/mbm (No. 127)
Symmetry-distinct sites (fractional):
Ti 0.1490 0.3510 0.0000 x4  2 Sn 2.67, 6 Ga 2.78-2.83, 1 Ti 2.95
Ga 0.1477 0.6477 0.5000 x4  6 Ti 2.78-2.83, 1 Ga 2.93
Sn 0.0000 0.0000 0.0000 x2  4 Ti 2.67

Magnetic moment = 0.0 μB/cell

=====

## B
The following is a DFT calculation (PBE-GGA) of a geometry-optimized Ti2Ga2Sn structure.

a = 4.2174 Å, b = 4.2174 Å, c = 11.1311 Å
α = 90.00°, β = 90.00°, γ = 90.00°
Closest atoms and distances in Å follow each position.
Space group I4/mmm (No. 139)
Symmetry-distinct sites (fractional):
Ti 0.0000 0.5000 0.2500 x4  4 Ga 2.64
Ga 0.0000 0.0000 0.1079 x4  1 Ga 2.40, 4 Ti 2.64
Sn 0.0000 0.0000 0.5000 x2  8 Ga 3.21, 8 Ti 3.49

Magnetic moment = 0.0 μB/cell

=====

Which of them is least stable? Easy: B.

=====

## A
The following is a DFT calculation (PBE-GGA) of a geometry-optimized TiGa2Sn2 structure.

a = 7.4439 Å, b = 7.4439 Å, c = 3.9301 Å
α = 90.00°, β = 90.00°, γ = 90.00°
Closest atoms and distances in Å follow each position.
Space group P4/mbm (No. 127)
Symmetry-distinct sites (fractional):
Ti 0.0000 0.0000 0.0000 x2  4 Sn 2.84
Ga 0.1578 0.3422 0.5000 x4  6 Sn 2.84-3.01
Sn 0.1479 0.6479 0.0000 x4  6 Ga 2.84-3.01, 2 Ti 2.84, 1 Sn 3.11

Magnetic moment = 0.0 μB/cell

=====

## B
The following is a DFT calculation (PBE-GGA) of a geometry-optimized TiGa2Sn2 structure.

a = 7.2245 Å, b = 7.2245 Å, c = 3.9747 Å
α = 90.00°, β = 90.00°, γ = 90.00°
Closest atoms and distances in Å follow each position.
Space group P4/mbm (No. 127)
Symmetry-distinct sites (fractional):
Ti 0.0000 0.0000 0.0000 x2  4 Ga 2.81
Ga 0.1364 0.3636 0.0000 x4  1 Ga 2.79, 2 Ti 2.81, 6 Sn 2.81-2.98
Sn 0.1689 0.6689 0.5000 x4  6 Ga 2.81-2.98

Magnetic moment = 0.0 μB/cell

=====

Which of them is least stable? Easy: A.

=====

## A
The following is a DFT calculation (PBE-GGA) of a geometry-optimized Ti6GaSn structure.

a = 4.7110 Å, b = 5.8139 Å, c = 10.0508 Å
α = 90.00°, β = 90.00°, γ = 90.00°
Closest atoms and distances in Å follow each position.
Space group Amm2 (No. 38)
Symmetry-distinct sites (fractional):
Ti 0.0000 0.0000 0.0000 x2  8 Ti 2.87-2.94, 2 Ga 2.88, 2 Sn 2.91
Ti 0.0000 0.2469 0.2472 x4  8 Ti 2.87-2.94, 2 Ga 2.88, 2 Sn 2.90
Ti 0.5000 0.0000 0.6666 x2  8 Ti 2.88-2.92, 2 Sn 2.90, 2 Ga 2.91
Ti 0.5000 0.2483 0.9148 x4  8 Ti 2.88-2.93, 2 Sn 2.90, 2 Ga 2.90-2.91
Ga 0.5000 0.0000 0.1651 x2  12 Ti 2.88-2.91
Sn 0.0000 0.0000 0.4983 x2  12 Ti 2.90-2.91

Magnetic moment = 0.0 μB/cell

=====

## B
The following is a DFT calculation (PBE-GGA) of a geometry-optimized Ti6GaSn structure.

a = 7.8640 Å, b = 5.4498 Å, c = 7.3746 Å
α = 90.00°, β = 103.59°, γ = 90.00°
Closest atoms and distances in Å follow each position.
Space group C2/m (No. 12)
Symmetry-distinct sites (fractional):
Ti 0.1242 0.0000 0.4292 x4  3 Ti 2.42-2.70
Ti 0.2036 0.2464 0.7861 x8  5 Ti 2.69-3.01, 1 Ga 2.71, 2 Sn 2.84-2.85
Ga 0.0000 0.5000 0.5000 x2  10 Ti 2.71-2.98
Sn 0.0000 0.0000 0.0000 x2  10 Ti 2.84-3.09

Magnetic moment = 0.0 μB/cell

=====

Which of them is least stable? Easy: B.